# 1
LiDy2Pd4: optimized geometry, PBE.

raw total energy	-5.072	eV per atom
E above lowest polymorph	63	meV per atom
calculated volume	135.2	Å³/cell
crystal system	tetragonal
DFT formation energy	-0.517	eV/atom

POSCAR file:
```
LiDy2Pd4
1.0
-2.1495 2.1495 7.3145
2.1495 -2.1495 7.3145
2.1495 2.1495 -7.3145
Li Dy Pd
1 2 4
direct
0.0000 0.0000 0.0000 Li
0.3499 0.3499 0.0000 Dy
0.6501 0.6501 0.0000 Dy
0.0000 0.5000 0.5000 Pd
0.1574 0.1574 0.0000 Pd
0.5000 0.0000 0.5000 Pd
0.8426 0.8426 0.0000 Pd
```



# 2
Ta2InRe: optimized geometry, PBE.

raw total energy	-9.581	eV per atom
calculated volume	72.7	Å³/cell
crystal system	orthorhombic
DFT formation energy	0.142	eV/atom

POSCAR file:
```
Ta2InRe
1.0
1.6243 -2.4095 0.0000
1.6243 2.4095 0.0000
0.0000 0.0000 9.2835
Ta In Re
2 1 1
direct
0.0000 0.0000 0.0000 Ta
0.5000 0.5000 0.2496 Ta
0.0000 0.0000 0.5184 In
0.5000 0.5000 0.7740 Re
```